Record 1
Density functional theory data (PBE-GGA) for an optimized crystal structure of Pr4NdMg.

The structure in POSCAR format:
```
Pr4NdMg
1.0
-0.3115 -3.1820 1.9280
3.4666 -0.9508 -1.0092
5.3135 6.7091 11.9312
Pr Nd Mg
4 1 1
Cartesian
2.5190 -0.8777 2.5734
3.4415 4.3454 7.7277
1.8720 2.3637 4.2035
5.9496 3.4540 10.2767
0.0000 0.0000 0.0000
4.2343 1.2881 6.4250
```

Summary:
Calculated total energy: -4.27 eV/atom
Excess energy over the best structure of this formula in the dataset: 0.0 kJ/mol of atoms
DOS(E_F): 7.48 states/eV per cell

***

Record 2
Density functional theory data (PBE-GGA) for an optimized crystal structure of CsIrSe2Br.

The structure in POSCAR format:
```
CsIrSe2Br
1.0
4.9699 0.0000 0.0000
0.0000 4.9699 0.0000
0.0000 0.0000 5.7003
Cs Ir Se Br
1 1 2 1
Cartesian
2.4849 2.4849 2.8502
0.0000 0.0000 0.0000
0.0000 2.4849 0.0000
2.4849 0.0000 0.0000
0.0000 0.0000 2.8502
```

Summary:
Formation energy from raw total energies: -0.27 eV per atom
Calculated total energy: -3.94 eV/atom
Excess energy over the best structure of this formula in the dataset: 0.0 kJ/mol of atoms
DOS(E_F): 6.99 states/eV per cell

***

Record 3
Density functional theory data (PBE-GGA) for an optimized crystal structure of Y2ZnGa2Co5.

The structure in POSCAR format:
```
Y2ZnGa2Co5
1.0
3.3910 0.0000 0.0000
0.0000 9.4407 0.0000
0.0000 0.0000 9.4407
Y Zn Ga Co
4 2 4 10
Cartesian
0.0000 6.3642 1.6439
0.0000 3.0764 7.7968
0.0000 1.6439 3.0764
0.0000 7.7968 6.3642
0.0000 0.0000 0.0000
0.0000 4.7203 4.7203
0.0000 1.1664 5.8867
0.0000 8.2742 3.5539
0.0000 5.8867 8.2742
0.0000 3.5539 1.1664
1.6955 1.8804 0.5707
1.6955 7.5603 8.8699
1.6955 0.5707 7.5603
1.6955 6.6007 4.1496
1.6955 8.8699 1.8804
1.6955 2.8399 5.2910
1.6955 5.2910 6.6007
1.6955 4.1496 2.8399
1.6955 4.7203 0.0000
1.6955 0.0000 4.7203
```

Summary:
Calculated total energy: -5.71 eV/atom
DOS(E_F): 18.63 states/eV per cell

***

Record 4
Density functional theory data (PBE-GGA) for an optimized crystal structure of Ca4Ag3Au.

The structure in POSCAR format:
```
Ca4Ag3Au
1.0
-2.9785 -1.7242 1.3366
2.0449 -2.9946 0.6939
3.0572 5.2296 13.5595
Ca Au Ag
4 1 3
Cartesian
2.6929 4.6064 11.9435
0.3643 0.6232 1.6159
1.1435 1.9560 5.0716
1.9138 3.2736 8.4879
-0.4668 -2.3594 1.0152
0.2933 -1.0593 4.3862
1.0618 0.2554 7.7950
1.8304 1.5701 11.2037
```

Summary:
Calculated total energy: -2.91 eV/atom
Excess energy over the best structure of this formula in the dataset: 1.4 kJ/mol of atoms
DOS(E_F): 7.23 states/eV per cell

***

Record 5
Density functional theory data (PBE-GGA) for an optimized crystal structure of Nd7Dy3Y.

The structure in POSCAR format:
```
Nd7Dy3Y
1.0
-0.4415 -0.2388 -5.9053
-0.5444 -7.9022 3.3356
-7.7906 0.8746 3.5226
Nd Dy Y
7 3 1
Cartesian
-1.8293 -1.5143 0.1899
-4.7957 0.3399 0.3478
-8.2085 -2.4855 0.7142
-0.5680 -4.7808 0.2387
-4.1675 -3.5138 3.4291
-3.9808 -7.6062 0.6052
-6.9473 -5.7520 0.7631
-2.0288 -6.1043 3.3739
-0.2208 -0.1194 -2.9526
-6.3063 -0.9232 3.4843
-4.3883 -3.6332 0.4765
```

Summary:
Calculated total energy: -4.65 eV/atom
Excess energy over the best structure of this formula in the dataset: 4.3 kJ/mol of atoms
DOS(E_F): 15.32 states/eV per cell

***

Record 6
Density functional theory data (PBE-GGA) for an optimized crystal structure of LiPrPuGa.

The structure in POSCAR format:
```
LiPrPuGa
1.0
5.2061 0.0000 0.0000
2.6031 4.5086 0.0000
2.6031 1.5029 4.2508
Pr Li Ga Pu
1 1 1 1
Cartesian
2.6031 1.5029 1.0627
0.0000 0.0000 0.0000
5.2061 3.0058 2.1254
7.8092 4.5086 3.1881
```

Summary:
Calculated total energy: -6.09 eV/atom
DOS(E_F): 7.96 states/eV per cell

***

Record 7
Density functional theory data (PBE-GGA) for an optimized crystal structure of AgAsSe2.

The structure in POSCAR format:
```
AgAsSe2
1.0
-2.6803 2.8435 -2.2822
0.2289 -4.3606 -1.2113
-4.7362 -1.3287 3.9052
Ag As Se
1 1 2
Cartesian
-5.0564 -0.9675 0.3563
-1.7567 -2.7119 -1.2078
-2.3300 -0.1991 -1.8906
-3.5475 -3.2173 0.2669
```

Summary:
Formation energy from raw total energies: -0.06 eV per atom
Calculated total energy: -3.68 eV/atom

***

Record 8
Density functional theory data (PBE-GGA) for an optimized crystal structure of Cs2PuBr3F3.

The structure in POSCAR format:
```
Cs2PuBr3F3
1.0
3.7636 0.0000 0.0000
0.0000 9.0455 0.0000
0.0000 -4.5227 7.8336
Cs Pu Br F
2 1 3 3
Cartesian
1.8818 0.0000 5.2224
1.8818 4.5227 2.6112
0.0000 0.0000 0.0000
0.0000 -1.5142 2.6227
0.0000 3.0086 5.2110
0.0000 3.0284 0.0000
1.8818 7.5886 0.0000
1.8818 0.7284 1.2617
1.8818 -3.7943 6.5719
```

Summary:
Formation energy from raw total energies: -2.26 eV per atom
Calculated total energy: -5.22 eV/atom
DOS(E_F): 9.04 states/eV per cell

***

Record 9
Density functional theory data (PBE-GGA) for an optimized crystal structure of BaPtW.

The structure in POSCAR format:
```
BaPtW
1.0
4.5106 0.0003 0.0000
-0.0003 5.4842 0.0145
-0.0003 4.2019 6.1460
Pt Ba W
2 2 2
Cartesian
2.7606 3.7512 0.9446
0.5050 9.2444 6.1156
0.5051 5.1828 3.1130
2.7603 7.8130 3.9473
0.5054 2.3634 0.6458
2.7608 0.9461 0.2545
```

Summary:
Calculated total energy: -6.81 eV/atom
Excess energy over the best structure of this formula in the dataset: 11.6 kJ/mol of atoms
DOS(E_F): 8.05 states/eV per cell

***

Record 10
Density functional theory data (PBE-GGA) for an optimized crystal structure of SrHgRu.

The structure in POSCAR format:
```
SrHgRu
1.0
5.9526 -0.0101 0.0112
4.8172 3.4970 0.0035
1.1354 0.3755 3.4869
Hg Ru Sr
1 1 1
Cartesian
10.3760 3.3597 0.1567
4.7129 1.5308 2.1976
7.5862 2.4588 1.1621
```

Summary:
Calculated total energy: -3.47 eV/atom
Excess energy over the best structure of this formula in the dataset: 2.8 kJ/mol of atoms
DOS(E_F): 2.33 states/eV per cell

***

Record 11
Density functional theory data (PBE-GGA) for an optimized crystal structure of UVReMo.

The structure in POSCAR format:
```
UVReMo
1.0
-1.9762 -1.4633 -3.8085
-3.8295 -2.4163 0.2174
-3.9153 1.8294 -1.3694
Re Mo U V
1 1 1 1
Cartesian
-2.4303 -0.5126 -1.2401
0.0000 0.0000 0.0000
-7.2908 -1.5377 -3.7203
-4.8605 -1.0251 -2.4802
```

Summary:
Calculated total energy: -10.76 eV/atom
DOS(E_F): 6.19 states/eV per cell

***

Record 12
Density functional theory data (PBE-GGA) for an optimized crystal structure of Li2NiCN2.

The structure in POSCAR format:
```
Li2NiCN2
1.0
3.1404 0.0000 0.0000
0.0000 4.2969 0.0000
0.0000 0.0000 8.4396
Li Ni C N
4 2 2 4
Cartesian
1.5702 0.1628 1.9494
0.0000 2.3113 2.2704
1.5702 4.1341 6.4902
0.0000 1.9856 6.1692
1.5702 2.1485 0.0000
0.0000 0.0000 4.2198
0.0000 0.0000 0.0000
1.5702 2.1485 4.2198
1.5702 3.1120 3.3826
1.5702 1.1850 5.0570
0.0000 3.3334 7.6024
0.0000 0.9635 0.8372
```

Summary:
Formation energy from raw total energies: 0.00 eV per atom
Calculated total energy: -5.92 eV/atom
DOS(E_F): 3.33 states/eV per cell